TmMgCo GGA-PBE relaxed; final energy = -0.3184 Ry per atom
1.0
6.2708 0.0000 0.0000
-3.1354 5.4307 0.0000
0.0000 0.0000 11.3776
Mg Tm Co
6 6 6
Cartesian
0.0000 0.0000 1.8963
0.0000 0.0000 9.4813
3.1354 0.0000 7.5851
-1.5677 2.7153 3.7925
1.5677 2.7153 0.0000
0.0000 0.0000 5.6888
1.5677 2.7153 8.1839
-1.5677 2.7153 0.5988
1.5677 2.7153 3.1937
-1.5677 2.7153 6.9863
3.1354 0.0000 4.3913
3.1354 0.0000 10.7788
0.0000 4.3252 1.8963
-0.6103 3.2681 9.4813
0.6103 3.2681 5.6888
3.7457 2.1626 9.4813
2.5251 2.1626 5.6888
3.1354 1.1055 1.8963